Model P:
# AgAsW (GGA-PBE, optimized geometry)
data_AgAsW
_symmetry_space_group_name_H-M 'P 1'
_symmetry_Int_Tables_number 1
_cell_length_a 7.661
_cell_length_b 7.478
_cell_length_c 2.840
_cell_angle_alpha 82.83
_cell_angle_beta 75.59
_cell_angle_gamma 21.58
loop_
_symmetry_equiv_pos_as_xyz
'x,y,z'
loop_
_atom_site_label
_atom_site_fract_x
_atom_site_fract_y
_atom_site_fract_z
As1 0.688 0.688 0.312
Ag1 0.987 0.987 0.013
W1 0.324 0.324 0.676
# Total magnetization (Bohr magnetons per cell): 0.000

---

Model Q:
# AgAsW (GGA-PBE, optimized geometry)
data_AgAsW
_symmetry_space_group_name_H-M 'P 1'
_symmetry_Int_Tables_number 1
_cell_length_a 4.266
_cell_length_b 4.266
_cell_length_c 4.266
_cell_angle_alpha 60.00
_cell_angle_beta 60.00
_cell_angle_gamma 60.00
loop_
_symmetry_equiv_pos_as_xyz
'x,y,z'
loop_
_atom_site_label
_atom_site_fract_x
_atom_site_fract_y
_atom_site_fract_z
As1 0.750 0.750 0.750
Ag1 0.500 0.500 0.500
W1 0.000 0.000 0.000
# Total magnetization (Bohr magnetons per cell): 0.000

---

Which structure is the most stable? The one labeled model P.

---

Model P:
# AgAsW3 (GGA-PBE, optimized geometry)
data_AgAsW3
_symmetry_space_group_name_H-M 'P 1'
_symmetry_Int_Tables_number 1
_cell_length_a 4.615
_cell_length_b 4.615
_cell_length_c 4.615
_cell_angle_alpha 90.00
_cell_angle_beta 90.00
_cell_angle_gamma 90.00
loop_
_symmetry_equiv_pos_as_xyz
'x,y,z'
loop_
_atom_site_label
_atom_site_fract_x
_atom_site_fract_y
_atom_site_fract_z
As1 0.000 0.000 0.000
Ag1 0.500 0.500 0.500
W1 0.000 0.500 0.000
W2 0.000 0.000 0.500
W3 0.500 0.000 0.000
# Total magnetization (Bohr magnetons per cell): 0.000

---

Model Q:
# AgAsW3 (GGA-PBE, optimized geometry)
data_AgAsW3
_symmetry_space_group_name_H-M 'P 1'
_symmetry_Int_Tables_number 1
_cell_length_a 4.805
_cell_length_b 4.805
_cell_length_c 4.805
_cell_angle_alpha 90.00
_cell_angle_beta 90.00
_cell_angle_gamma 90.00
loop_
_symmetry_equiv_pos_as_xyz
'x,y,z'
loop_
_atom_site_label
_atom_site_fract_x
_atom_site_fract_y
_atom_site_fract_z
As1 0.500 0.500 0.500
Ag1 0.000 0.000 0.000
W1 0.000 0.500 0.000
W2 0.000 0.000 0.500
W3 0.500 0.000 0.000
# Total magnetization (Bohr magnetons per cell): 0.000

---

Which structure is the most stable? The one labeled model P.

---

Model P:
# ZnAg2As (GGA-PBE, optimized geometry)
data_ZnAg2As
_symmetry_space_group_name_H-M 'P 1'
_symmetry_Int_Tables_number 1
_cell_length_a 4.415
_cell_length_b 4.415
_cell_length_c 5.249
_cell_angle_alpha 65.13
_cell_angle_beta 65.13
_cell_angle_gamma 60.00
loop_
_symmetry_equiv_pos_as_xyz
'x,y,z'
loop_
_atom_site_label
_atom_site_fract_x
_atom_site_fract_y
_atom_site_fract_z
Zn1 0.677 0.677 0.969
Ag1 0.068 0.068 0.796
Ag2 0.273 0.273 0.182
As1 0.482 0.482 0.553
# Total magnetization (Bohr magnetons per cell): 0.000

---

Model Q:
# ZnAg2As (GGA-PBE, optimized geometry)
data_ZnAg2As
_symmetry_space_group_name_H-M 'P 1'
_symmetry_Int_Tables_number 1
_cell_length_a 2.891
_cell_length_b 2.891
_cell_length_c 8.502
_cell_angle_alpha 90.00
_cell_angle_beta 90.00
_cell_angle_gamma 94.47
loop_
_symmetry_equiv_pos_as_xyz
'x,y,z'
loop_
_atom_site_label
_atom_site_fract_x
_atom_site_fract_y
_atom_site_fract_z
Ag1 0.000 0.000 0.986
Ag2 0.500 0.500 0.242
As1 0.000 0.000 0.512
Zn1 0.500 0.500 0.760
# Total magnetization (Bohr magnetons per cell): 0.000

---

Which structure is the most stable? The one labeled model Q.

---

Model P:
# ZnAg2As (GGA-PBE, optimized geometry)
data_ZnAg2As
_symmetry_space_group_name_H-M 'P 1'
_symmetry_Int_Tables_number 1
_cell_length_a 3.887
_cell_length_b 3.126
_cell_length_c 6.559
_cell_angle_alpha 62.06
_cell_angle_beta 90.00
_cell_angle_gamma 90.00
loop_
_symmetry_equiv_pos_as_xyz
'x,y,z'
loop_
_atom_site_label
_atom_site_fract_x
_atom_site_fract_y
_atom_site_fract_z
Ag1 0.000 0.004 0.989
Ag2 0.500 0.250 0.250
As1 0.000 0.511 0.505
Zn1 0.500 0.736 0.756
# Total magnetization (Bohr magnetons per cell): 0.000

---

Model Q:
# ZnAg2As (GGA-PBE, optimized geometry)
data_ZnAg2As
_symmetry_space_group_name_H-M 'P 1'
_symmetry_Int_Tables_number 1
_cell_length_a 9.092
_cell_length_b 9.092
_cell_length_c 9.092
_cell_angle_alpha 19.12
_cell_angle_beta 19.12
_cell_angle_gamma 19.12
loop_
_symmetry_equiv_pos_as_xyz
'x,y,z'
loop_
_atom_site_label
_atom_site_fract_x
_atom_site_fract_y
_atom_site_fract_z
Ag1 0.003 0.003 0.003
Ag2 0.497 0.497 0.497
As1 0.250 0.250 0.250
Zn1 0.750 0.750 0.750
# Total magnetization (Bohr magnetons per cell): 0.000

---

Model R:
# ZnAg2As (GGA-PBE, optimized geometry)
data_ZnAg2As
_symmetry_space_group_name_H-M 'P 1'
_symmetry_Int_Tables_number 1
_cell_length_a 4.666
_cell_length_b 4.666
_cell_length_c 4.666
_cell_angle_alpha 60.00
_cell_angle_beta 60.00
_cell_angle_gamma 60.00
loop_
_symmetry_equiv_pos_as_xyz
'x,y,z'
loop_
_atom_site_label
_atom_site_fract_x
_atom_site_fract_y
_atom_site_fract_z
As1 0.500 0.500 0.500
Zn1 0.000 0.000 0.000
Ag1 0.250 0.250 0.250
Ag2 0.750 0.750 0.750
# Total magnetization (Bohr magnetons per cell): 0.000

---

Model S:
# ZnAg2As (GGA-PBE, optimized geometry)
data_ZnAg2As
_symmetry_space_group_name_H-M 'P 1'
_symmetry_Int_Tables_number 1
_cell_length_a 2.887
_cell_length_b 2.887
_cell_length_c 8.451
_cell_angle_alpha 90.00
_cell_angle_beta 90.00
_cell_angle_gamma 91.67
loop_
_symmetry_equiv_pos_as_xyz
'x,y,z'
loop_
_atom_site_label
_atom_site_fract_x
_atom_site_fract_y
_atom_site_fract_z
Ag1 0.000 0.000 0.979
Ag2 0.000 0.000 0.521
As1 0.500 0.500 0.250
Zn1 0.500 0.500 0.750
# Total magnetization (Bohr magnetons per cell): 0.000

---

Which structure is the most stable? The one labeled model P.

---

Model P:
# ZrAg3As (GGA-PBE, optimized geometry)
data_ZrAg3As
_symmetry_space_group_name_H-M 'P 1'
_symmetry_Int_Tables_number 1
_cell_length_a 5.232
_cell_length_b 5.232
_cell_length_c 5.232
_cell_angle_alpha 90.00
_cell_angle_beta 90.00
_cell_angle_gamma 90.00
loop_
_symmetry_equiv_pos_as_xyz
'x,y,z'
loop_
_atom_site_label
_atom_site_fract_x
_atom_site_fract_y
_atom_site_fract_z
As1 0.500 0.500 0.500
Zr1 0.000 0.000 0.000
Ag1 0.000 0.500 0.000
Ag2 0.000 0.000 0.500
Ag3 0.500 0.000 0.000
# Total magnetization (Bohr magnetons per cell): 1.070

---

Model Q:
# ZrAg3As (GGA-PBE, optimized geometry)
data_ZrAg3As
_symmetry_space_group_name_H-M 'P 1'
_symmetry_Int_Tables_number 1
_cell_length_a 4.852
_cell_length_b 4.852
_cell_length_c 4.852
_cell_angle_alpha 90.00
_cell_angle_beta 90.00
_cell_angle_gamma 90.00
loop_
_symmetry_equiv_pos_as_xyz
'x,y,z'
loop_
_atom_site_label
_atom_site_fract_x
_atom_site_fract_y
_atom_site_fract_z
As1 0.000 0.000 0.000
Zr1 0.500 0.500 0.500
Ag1 0.000 0.500 0.000
Ag2 0.000 0.000 0.500
Ag3 0.500 0.000 0.000
# Total magnetization (Bohr magnetons per cell): 0.810

---

Which structure is the most stable? The one labeled model Q.